Material: NaCoIrO6
Method: DFT, GGA+U
State: optimized geometry

For the density, the calculation gives 5.347 g/cm³. The magnetization comes out at 0.112 μB/atom. Its total energy is -5.786 eV/atom.

a b c (Å): 5.065 5.065 10.349
angles (deg): 90.00 90.00 120.00
Last column: magnetic moment on the atom in μB.
Atoms (fractional coordinates):
1 Na 0.000 0.000 0.000  0.00
2 Na 0.000 0.000 0.500  0.00
3 Co 0.667 0.333 0.250  -0.01
4 Co 0.333 0.667 0.750  -0.01
5 Ir 0.333 0.667 0.250  0.45
6 Ir 0.667 0.333 0.750  0.45
7 O 0.617 0.612 0.149  0.08
8 O 0.995 0.383 0.149  0.08
9 O 0.383 0.995 0.649  0.08
10 O 0.005 0.617 0.851  0.08
11 O 0.388 0.383 0.351  0.08
12 O 0.995 0.612 0.351  0.08
13 O 0.612 0.995 0.851  0.08
14 O 0.617 0.005 0.351  0.08
15 O 0.005 0.388 0.649  0.08
16 O 0.388 0.005 0.149  0.08
17 O 0.612 0.617 0.649  0.08
18 O 0.383 0.388 0.851  0.08